Entry from Alexandria via LeMat-Bulk: crystalline Cs2GaAgAu at its relaxed geometry (GGA-PBE).

Values from the calculation:
- N(E_F): 3.44 states/eV/cell
- Space-group type: No. 123
- E_tot: -10.79 eV per formula unit
- Formation enthalpy at 0 K: 0.01 eV/atom

```
5
Lattice="6.951 0.000 0.000 0.000 6.951 0.000 0.000 0.000 4.919" Properties=species:S:1:pos:R:3 pbc="T T T"
Ag 3.476 3.476 2.460
Ga 0.000 0.000 2.460
Cs 0.000 3.476 0.000
Cs 3.476 0.000 0.000
Au 0.000 0.000 0.000
```